The following is a DFT calculation (PBE) of a relaxed structure of Mg3Cd13.

Summary:
**Formation energy from the elements**: -0.042 eV per atom
**Total DFT energy (no corrections)**: -1.085 eV per atom
**DOS at the Fermi energy**: 3.225 states/eV/f.u.
**Mass density**: 7.17 g/cm³

```
data_Mg3Cd13
_symmetry_space_group_name_H-M 'A m m 2'
_symmetry_Int_Tables_number 38
_symmetry_space_group_name_Hall 'A 2 -2'
_cell_length_a 8.709
_cell_length_b 9.013
_cell_length_c 9.047
_cell_angle_alpha 90.00
_cell_angle_beta 90.00
_cell_angle_gamma 90.00
loop_
_atom_site_label
_atom_site_fract_x
_atom_site_fract_y
_atom_site_fract_z
Mg1 0.000 0.000 0.000
Mg2 0.253 0.000 0.261
Cd1 0.000 0.000 0.504
Cd2 0.000 0.243 0.253
Cd3 0.248 0.247 0.007
Cd4 0.249 0.000 0.756
Cd5 0.500 0.000 0.010
Cd6 0.500 0.000 0.507
Cd7 0.500 0.249 0.258
```

The following is a DFT calculation (PBE) of a relaxed structure of CsRbSb.

Summary:
**Total DFT energy (no corrections)**: -2.202 eV per atom
**DOS at the Fermi energy**: 2.210 states/eV/f.u.
**E_form (uncorrected)**: -0.22 eV/atom
**E above lowest polymorph**: 145 meV/atom
**Mass density**: 3.89 g/cm³

```
data_CsRbSb
_symmetry_space_group_name_H-M 'I 4 m m'
_symmetry_Int_Tables_number 107
_symmetry_space_group_name_Hall 'I 4 -2'
_cell_length_a 4.825
_cell_length_b 4.825
_cell_length_c 12.482
_cell_angle_alpha 90.00
_cell_angle_beta 90.00
_cell_angle_gamma 90.00
loop_
_atom_site_label
_atom_site_fract_x
_atom_site_fract_y
_atom_site_fract_z
Cs1 0.000 0.000 0.000
Rb1 0.000 0.000 0.700
Sb1 0.000 0.000 0.339
```